(1)
## AgSN2Cl (PBE)

Data for an optimized crystal structure of AgSN2Cl. Values from VASP.

Quantum ESPRESSO input file:
```
&SYSTEM
  ibrav = 0, nat = 5, ntyp = 4
/
ATOMIC_SPECIES
Ag 107.87 Ag.upf
S 32.06 S.upf
N 14.01 N.upf
Cl 35.45 Cl.upf
ATOMIC_POSITIONS crystal
Ag 0.000 0.000 0.000
S 0.500 0.500 0.000
N 0.000 0.500 0.500
N 0.500 0.000 0.500
Cl 0.500 0.500 0.500
CELL_PARAMETERS angstrom
3.598 0.000 0.000
0.000 3.598 0.000
0.000 0.000 7.688
```

Computed properties:
* space group: P4/mmm, No. 123
* mass density: 3394 kg/m³
* total magnetization: 1.06 μB/f.u.
* offset from the most stable computed form: 151 meV/atom
* ΔE_f (raw): 2.11 eV per atom

(2)
## AgS2NCl (PBE)

Data for an optimized crystal structure of AgS2NCl. Values from VASP.

Quantum ESPRESSO input file:
```
&SYSTEM
  ibrav = 0, nat = 5, ntyp = 4
/
ATOMIC_SPECIES
Ag 107.87 Ag.upf
S 32.06 S.upf
N 14.01 N.upf
Cl 35.45 Cl.upf
ATOMIC_POSITIONS crystal
Ag 0.000 0.000 0.000
S 0.000 0.500 0.000
S 0.500 0.000 0.000
N 0.500 0.500 0.500
Cl 0.000 0.000 0.500
CELL_PARAMETERS angstrom
4.944 0.000 0.000
0.000 4.944 0.000
0.000 0.000 5.233
```

Computed properties:
* space group: P4/mmm, No. 123
* mass density: 2875 kg/m³
* total magnetization: 5.74 μB/f.u.
* offset from the most stable computed form: 848 meV/atom
* ΔE_f (raw): 1.64 eV per atom

(3)
## AgSbNCl2 (PBE)

Data for an optimized crystal structure of AgSbNCl2. Values from VASP.

Quantum ESPRESSO input file:
```
&SYSTEM
  ibrav = 0, nat = 5, ntyp = 4
/
ATOMIC_SPECIES
Ag 107.87 Ag.upf
Sb 121.76 Sb.upf
N 14.01 N.upf
Cl 35.45 Cl.upf
ATOMIC_POSITIONS crystal
Ag 0.000 0.000 0.000
Sb 0.000 0.000 0.500
N 0.500 0.500 0.000
Cl 0.000 0.500 0.500
Cl 0.500 0.000 0.500
CELL_PARAMETERS angstrom
5.362 0.000 0.000
0.000 5.362 0.000
0.000 0.000 5.387
```

Computed properties:
* space group: P4/mmm, No. 123
* mass density: 3372 kg/m³
* total magnetization: 3.00 μB/f.u.
* offset from the most stable computed form: 0 meV/atom
* ΔE_f (raw): 0.77 eV per atom

(4)
## AgSbNCl2 (PBE)

Data for an optimized crystal structure of AgSbNCl2. Values from VASP.

Quantum ESPRESSO input file:
```
&SYSTEM
  ibrav = 0, nat = 5, ntyp = 4
/
ATOMIC_SPECIES
Ag 107.87 Ag.upf
Sb 121.76 Sb.upf
N 14.01 N.upf
Cl 35.45 Cl.upf
ATOMIC_POSITIONS crystal
Ag 0.000 0.000 0.000
Sb 0.000 0.000 0.500
N 0.500 0.500 0.500
Cl 0.000 0.500 0.000
Cl 0.500 0.000 0.000
CELL_PARAMETERS angstrom
4.657 0.000 0.000
0.000 4.657 0.000
0.000 0.000 6.026
```

Computed properties:
* space group: P4/mmm, No. 123
* mass density: 3996 kg/m³
* total magnetization: 0.00 μB/f.u.
* offset from the most stable computed form: 568 meV/atom
* ΔE_f (raw): 1.33 eV per atom

(5)
## AgSbN2Cl (PBE)

Data for an optimized crystal structure of AgSbN2Cl. Values from VASP.

Quantum ESPRESSO input file:
```
&SYSTEM
  ibrav = 0, nat = 5, ntyp = 4
/
ATOMIC_SPECIES
Ag 107.87 Ag.upf
Sb 121.76 Sb.upf
N 14.01 N.upf
Cl 35.45 Cl.upf
ATOMIC_POSITIONS crystal
Ag 0.000 0.000 0.000
Sb 0.500 0.500 0.500
N 0.000 0.500 0.000
N 0.500 0.000 0.000
Cl 0.000 0.000 0.500
CELL_PARAMETERS angstrom
4.215 0.000 0.000
0.000 4.215 0.000
0.000 0.000 4.764
```

Computed properties:
* space group: P4/mmm, No. 123
* mass density: 5750 kg/m³
* total magnetization: 0.00 μB/f.u.
* ΔE_f (raw): 1.73 eV per atom

(6)
## ScAgNCl2 (PBE)

Data for an optimized crystal structure of ScAgNCl2. Values from VASP.

Quantum ESPRESSO input file:
```
&SYSTEM
  ibrav = 0, nat = 5, ntyp = 4
/
ATOMIC_SPECIES
Sc 44.96 Sc.upf
Ag 107.87 Ag.upf
N 14.01 N.upf
Cl 35.45 Cl.upf
ATOMIC_POSITIONS crystal
Sc 0.000 0.000 0.000
Ag 0.500 0.500 0.500
N 0.000 0.000 0.500
Cl 0.000 0.500 0.000
Cl 0.500 0.000 0.000
CELL_PARAMETERS angstrom
5.166 0.000 0.000
0.000 5.166 0.000
0.000 0.000 4.057
```

Computed properties:
* space group: P4/mmm, No. 123
* mass density: 3647 kg/m³
* total magnetization: 1.00 μB/f.u.
* ΔE_f (raw): -0.47 eV per atom

- What is the formula in the fifth record?
  AgSbN2Cl